(1)
Entry from Alexandria: crystalline Ca3Ga2Hg3 at its relaxed geometry (PBE).

abc: 6.148 6.148 15.506
angles: 90.00 90.00 135.85
Positions (direct):
1 Ca 0.081 0.919 0.606
2 Ca 0.081 0.919 0.894
3 Ca 0.362 0.638 0.750
4 Ca 0.638 0.362 0.250
5 Ca 0.919 0.081 0.106
6 Ca 0.919 0.081 0.394
7 Ga 0.211 0.789 0.104
8 Ga 0.211 0.789 0.396
9 Ga 0.789 0.211 0.604
10 Ga 0.789 0.211 0.896
11 Hg 0.359 0.641 0.250
12 Hg 0.379 0.621 0.541
13 Hg 0.379 0.621 0.959
14 Hg 0.621 0.379 0.041
15 Hg 0.621 0.379 0.459
16 Hg 0.641 0.359 0.750

Values from the calculation:
energy of formation: -0.464 eV per atom
space-group type: Cmcm

=====

(2)
Entry from Alexandria: crystalline TmHfZr3 at its relaxed geometry (PBE).

abc: 3.185 6.329 12.333
angles: 90.00 97.33 90.00
Positions (direct):
1 Tm 0.200 0.250 0.395
2 Tm 0.800 0.750 0.605
3 Hf 0.002 0.750 0.003
4 Hf 0.998 0.250 0.997
5 Zr 0.176 0.750 0.357
6 Zr 0.408 0.506 0.816
7 Zr 0.408 0.994 0.816
8 Zr 0.592 0.006 0.184
9 Zr 0.592 0.494 0.184
10 Zr 0.824 0.250 0.643

Values from the calculation:
energy above the lowest structure with this stoichiometry: 9.4 kJ/mol of atoms
energy of formation: 0.120 eV per atom
space-group type: P2_1/m

=====

(3)
Entry from Alexandria: crystalline HfRe2Sn at its relaxed geometry (PBE).

abc: 7.419 7.419 7.419
angles: 131.42 131.42 71.15
Positions (direct):
1 Hf 0.000 0.000 0.000
2 Hf 0.750 0.250 0.500
3 Re 0.118 0.625 0.993
4 Re 0.375 0.368 0.493
5 Re 0.632 0.125 0.007
6 Re 0.875 0.882 0.507
7 Sn 0.250 0.750 0.500
8 Sn 0.500 0.500 0.000

Values from the calculation:
energy of formation: 2.032 eV per atom
space-group type: I-42d

=====

(4)
Entry from Alexandria: crystalline MgBe2B at its relaxed geometry (PBE).

abc: 3.511 4.827 5.840
angles: 100.13 94.33 110.85
Positions (direct):
1 Mg 0.000 0.000 0.000
2 Mg 0.500 0.000 0.500
3 Be 0.193 0.423 0.397
4 Be 0.307 0.493 0.776
5 Be 0.693 0.507 0.224
6 Be 0.807 0.577 0.603
7 B 0.199 0.553 0.106
8 B 0.801 0.447 0.894

Values from the calculation:
energy above the lowest structure with this stoichiometry: 9.2 kJ/mol of atoms
energy of formation: 0.114 eV per atom
space-group type: P-1

=====

(5)
Entry from Alexandria: crystalline Hf3MgAl at its relaxed geometry (PBE).

abc: 5.014 5.014 5.014
angles: 90.00 90.00 90.00
Positions (direct):
1 Hf 0.000 0.000 0.500
2 Hf 0.000 0.500 0.000
3 Hf 0.500 0.000 0.000
4 Mg 0.500 0.500 0.500
5 Al 0.000 0.000 0.000

Values from the calculation:
energy above the lowest structure with this stoichiometry: 0.0 kJ/mol of atoms
energy of formation: 0.672 eV per atom
space-group type: Pm-3m

=====

(6)
Entry from Alexandria: crystalline LaCeN4 at its relaxed geometry (PBE).

abc: 4.017 4.017 7.463
angles: 96.42 96.42 58.62
Positions (direct):
1 La 0.000 0.000 0.000
2 Ce 0.615 0.615 0.620
3 N 0.258 0.258 0.370
4 N 0.367 0.367 0.263
5 N 0.658 0.658 0.918
6 N 0.954 0.954 0.663

Values from the calculation:
formation energy without anion corrections: -0.93 eV/atom
space-group type: Cm

=====

(7)
Entry from Alexandria: crystalline LiNdIn2 at its relaxed geometry (PBE).

abc: 5.232 5.232 5.232
angles: 60.00 60.00 60.00
Positions (direct):
1 Li 0.000 0.000 0.000
2 Nd 0.500 0.500 0.500
3 In 0.250 0.250 0.250
4 In 0.750 0.750 0.750

Values from the calculation:
energy of formation: -0.392 eV per atom
space-group type: Fm-3m

=====

(8)
Entry from Alexandria: crystalline LiNpSi2Pt4 at its relaxed geometry (PBE).

abc: 8.852 8.852 8.852
angles: 27.23 27.23 27.23
Positions (direct):
1 Li 0.000 0.000 0.000
2 Np 0.500 0.500 0.500
3 Si 0.263 0.263 0.263
4 Si 0.737 0.737 0.737
5 Pt 0.097 0.097 0.097
6 Pt 0.365 0.365 0.365
7 Pt 0.635 0.635 0.635
8 Pt 0.903 0.903 0.903

Values from the calculation:
formation energy without anion corrections: -0.69 eV/atom
space-group type: R-3m

=====

| no. | final energy (eV/cell) |
| --- | --- |
| 1 | -33.3 |
| 2 | -78.9 |
| 3 | -61.4 |
| 4 | -30.5 |
| 5 | -31.8 |
| 6 | -49.8 |
| 7 | -13.7 |
| 8 | -55.4 |